Record 1
## NdGd2Co (PBE)

Data for crystalline NdGd2Co at its relaxed geometry.

Calculated values
- DOS at the Fermi energy (states/eV per cell) = 4.18
- spin magnetization (μB per formula unit) = 14.11
- final energy (eV per cell) = -40.076

Unit cell a=3.7640 b=3.7640 c=9.5725 alpha=78.66 beta=78.66 gamma=60.00
With the nearest neighbours (Å) after each atom.
Fractional positions:
1 Nd 0.5000 0.5000 0.5000  6 Nd 3.76, 6 Gd 3.78
2 Co 0.0000 0.0000 0.0000  6 Gd 2.68
3 Gd 0.7226 0.7226 0.8323  3 Co 2.68
4 Gd 0.2774 0.2774 0.1677  3 Co 2.68


Record 2
## AcLa5Y2Ho (PBE)

Data for crystalline AcLa5Y2Ho at its relaxed geometry.

Calculated values
- DOS at the Fermi energy (states/eV per cell) = 30.85
- spin magnetization (μB per formula unit) = 0.00
- final energy (eV per cell) = -87.519

Unit cell a=9.6136 b=9.6136 c=9.9286 alpha=118.96 beta=118.96 gamma=90.00
With the nearest neighbours (Å) after each atom.
Fractional positions:
1 La 0.1666 0.0676 0.7342  1 Ho 3.21, 1 Y 3.23
2 La 0.6666 0.1666 0.7342  1 Ho 3.21, 1 Y 3.23
3 La 0.8334 0.9324 0.2658  1 Ho 3.21, 1 Y 3.23
4 La 0.5676 0.6666 0.7342  1 Ho 3.21, 1 Y 3.23
5 La 0.0000 0.0000 0.0000  2 Ac 3.62, 4 Y 3.90, 8 La 3.96
6 La 0.4324 0.3334 0.2658  1 Ho 3.21, 1 Y 3.23
7 La 0.9324 0.4324 0.2658  1 Ho 3.21, 1 Y 3.23
8 La 0.0676 0.5676 0.7342  1 Ho 3.21, 1 Y 3.23
9 La 0.3334 0.8334 0.2658  1 Ho 3.21, 1 Y 3.23
10 La 0.5000 0.5000 0.0000  2 Ac 3.62, 4 Y 3.90, 8 La 3.96
11 Y 0.1087 0.3913 0.0000  1 Y 2.95, 2 La 3.23
12 Y 0.3913 0.8913 0.0000  1 Y 2.95, 2 La 3.23
13 Y 0.6087 0.1087 0.0000  1 Y 2.95, 2 La 3.23
14 Y 0.8913 0.6087 0.0000  1 Y 2.95, 2 La 3.23
15 Ac 0.7500 0.7500 0.5000  10 La 3.62-3.86
16 Ac 0.2500 0.2500 0.5000  10 La 3.62-3.86
17 Ho 0.7500 0.2500 0.5000  4 La 3.21
18 Ho 0.2500 0.7500 0.5000  4 La 3.21


Record 3
## Tb4TmZn5 (PBE)

Data for crystalline Tb4TmZn5 at its relaxed geometry.

Calculated values
- DOS at the Fermi energy (states/eV per cell) = 12.05
- spin magnetization (μB per formula unit) = 0.00
- final energy (eV per cell) = -32.741

Unit cell a=3.5708 b=3.5708 c=17.8532 alpha=90.00 beta=90.00 gamma=90.00
With the nearest neighbours (Å) after each atom.
Fractional positions:
1 Zn 0.5000 0.5000 0.9042  4 Tm 3.05, 4 Tb 3.12
2 Zn 0.5000 0.5000 0.7013  8 Tb 3.10
3 Zn 0.5000 0.5000 0.5000  8 Tb 3.10
4 Zn 0.5000 0.5000 0.2987  8 Tb 3.10
5 Zn 0.5000 0.5000 0.0958  4 Tm 3.05, 4 Tb 3.12
6 Tb 0.0000 0.0000 0.8019  8 Zn 3.10-3.12
7 Tb 0.0000 0.0000 0.3991  8 Zn 3.10
8 Tb 0.0000 0.0000 0.1981  8 Zn 3.10-3.12
9 Tb 0.0000 0.0000 0.6009  8 Zn 3.10
10 Tm 0.0000 0.0000 0.0000  8 Zn 3.05